--- a ---
Material: K3ScMn
Method: DFT, PBE
State: relaxed

The structure belongs to space group Pm-3m (No. 221); the cell edges are 6.496, 6.496 and 6.496 Å and the angles 90.00°, 90.00° and 90.00°. Symmetry generates all atoms from K at (0.000, 0.000, 0.500), Sc at (0.500, 0.500, 0.500) and Mn at (0.000, 0.000, 0.000).

---

--- b ---
Material: K3ScMn
Method: DFT, PBE
State: relaxed

The structure belongs to space group Pm-3m (No. 221); the cell edges are 6.805, 6.805 and 6.805 Å and the angles 90.00°, 90.00° and 90.00°. Symmetry generates all atoms from K at (0.000, 0.000, 0.500), Sc at (0.000, 0.000, 0.000) and Mn at (0.500, 0.500, 0.500).

---

Which of them is the most stable, and which is the least stable? a and b, in that order.

---

--- a ---
Material: KMn2Si
Method: DFT, PBE
State: relaxed

The structure belongs to space group I-4m2 (No. 119); the cell edges are 4.339, 4.339 and 8.417 Å and the angles 90.00°, 90.00° and 90.00°. Symmetry generates all atoms from K at (0.000, 0.000, 0.000), Mn at (0.000, 0.000, 0.500), Mn at (0.000, 0.500, 0.750) and Si at (0.000, 0.500, 0.250).

---

--- b ---
Material: KMn2Si
Method: DFT, PBE
State: relaxed

The structure belongs to space group Pmmm (No. 47); the cell edges are 2.719, 3.748 and 7.170 Å and the angles 90.00°, 90.00° and 90.00°. Symmetry generates all atoms from K at (0.000, 0.000, 0.000), Mn at (0.500, 0.500, 0.365) and Si at (0.000, 0.000, 0.500).

---

--- c ---
Material: KMn2Si
Method: DFT, PBE
State: relaxed

The structure belongs to space group P4/mmm (No. 123); the cell edges are 3.076, 3.076 and 8.341 Å and the angles 90.00°, 90.00° and 90.00°. Symmetry generates all atoms from K at (0.000, 0.000, 0.000), Mn at (0.500, 0.500, 0.349) and Si at (0.000, 0.000, 0.500).

---

Which of them is the most stable, and which is the least stable? c and a, in that order.